1.
Computed, not measured: MgZr6Zn5 after structural relaxation at the PBE level of DFT.

a = 4.7582 Å, b = 6.7507 Å, c = 8.2568 Å
α = 114.13°, β = 106.75°, γ = 90.00°
Closest atoms and distances in Å follow each position.
Atoms (fractional coordinates):
Mg 0.0000 0.0000 0.0000  8 Zr 2.96-2.99, 4 Zn 3.29
Zn 0.3413 0.8413 0.6827  8 Zr 2.87-2.95
Zn 0.6671 0.6671 0.3342  8 Zr 2.88-2.90
Zn 0.0000 0.5000 0.0000  8 Zr 2.88-2.95
Zn 0.3329 0.3329 0.6658  8 Zr 2.88-2.90
Zn 0.6587 0.1587 0.3173  8 Zr 2.87-2.95
Zr 0.1707 0.4253 0.3414  7 Zn 2.89-2.95, 1 Mg 2.99
Zr 0.1707 0.9161 0.3414  7 Zn 2.89-2.95, 1 Mg 2.99
Zr 0.5000 0.2606 0.0000  6 Zn 2.87-2.88, 2 Mg 2.96
Zr 0.5000 0.7394 0.0000  6 Zn 2.87-2.88, 2 Mg 2.96
Zr 0.8293 0.0839 0.6586  7 Zn 2.89-2.95, 1 Mg 2.99
Zr 0.8293 0.5747 0.6586  7 Zn 2.89-2.95, 1 Mg 2.99

* DOS(E_F): 4.1 states/eV/f.u.
* energy of formation: -210 meV per atom


2.
Computed, not measured: Ce4In3Ru after structural relaxation at the PBE level of DFT.

a = 3.2921 Å, b = 3.2921 Å, c = 18.5013 Å
α = 90.00°, β = 90.00°, γ = 90.00°
Closest atoms and distances in Å follow each position.
Atoms (fractional coordinates):
Ru 0.5000 0.5000 0.0000  8 Ce 2.96, 4 Ru 3.29
Ce 0.0000 0.0000 0.9016  4 Ru 2.96, 4 Ce 3.29
Ce 0.0000 0.0000 0.0984  4 Ru 2.96, 4 Ce 3.29
Ce 0.0000 0.0000 0.3687  4 Ce 3.29, 8 In 3.37-3.38
Ce 0.0000 0.0000 0.6313  4 Ce 3.29, 8 In 3.37-3.38
In 0.5000 0.5000 0.2360  4 In 3.29, 8 Ce 3.38-3.45
In 0.5000 0.5000 0.5000  4 In 3.29, 8 Ce 3.37
In 0.5000 0.5000 0.7640  4 In 3.29, 8 Ce 3.38-3.45

* DOS(E_F): 16.5 states/eV/f.u.
* energy of formation: -365 meV per atom


3.
Computed, not measured: Mg2TcNi after structural relaxation at the PBE level of DFT.

a = 2.8218 Å, b = 2.8218 Å, c = 8.0804 Å
α = 90.00°, β = 90.00°, γ = 90.00°
Closest atoms and distances in Å follow each position.
Atoms (fractional coordinates):
Mg 0.0000 0.0000 0.9712  4 Mg 2.82, 4 Tc 2.88
Mg 0.5000 0.5000 0.2943  4 Ni 2.71, 4 Mg 2.82
Ni 0.0000 0.0000 0.5211  4 Tc 2.53, 4 Mg 2.71, 4 Ni 2.82
Tc 0.5000 0.5000 0.7134  4 Ni 2.53, 4 Tc 2.82

* DOS(E_F): 3.9 states/eV/f.u.
* energy of formation: 66 meV per atom
* energy above the lowest structure with this stoichiometry: 0 meV per atom


4.
Computed, not measured: In2SbCl after structural relaxation at the PBE level of DFT.

a = 10.2118 Å, b = 10.2118 Å, c = 10.2118 Å
α = 19.95°, β = 19.95°, γ = 19.95°
Closest atoms and distances in Å follow each position.
Atoms (fractional coordinates):
Sb 0.2500 0.2500 0.2500  6 In 3.38, 6 Sb 3.54
Cl 0.7500 0.7500 0.7500  6 In 3.08
In 0.0064 0.0064 0.0064  3 Cl 3.08, 3 Sb 3.38
In 0.4936 0.4936 0.4936  3 Cl 3.08, 3 Sb 3.38

* DOS(E_F): 2.3 states/eV/f.u.
* uncorrected formation energy: -0.19 eV/atom
* energy above the lowest structure with this stoichiometry: 195 meV per atom


5.
Computed, not measured: CaCoHg2 after structural relaxation at the PBE level of DFT.

a = 5.3837 Å, b = 5.3837 Å, c = 5.3837 Å
α = 136.20°, β = 125.49°, γ = 72.40°
Closest atoms and distances in Å follow each position.
Atoms (fractional coordinates):
Ca 0.7500 0.2500 0.5000  8 Hg 3.12-3.16, 4 Co 3.18
Co 0.2500 0.7500 0.5000  4 Hg 2.77
Hg 0.0302 0.0302 0.0000  2 Co 2.77
Hg 0.4698 0.4698 0.0000  2 Co 2.77

* DOS(E_F): 2.9 states/eV/f.u.
* energy of formation: 46 meV per atom


6.
Computed, not measured: PmFe2GeN after structural relaxation at the PBE level of DFT.

a = 3.8186 Å, b = 5.6712 Å, c = 6.9054 Å
α = 90.00°, β = 90.00°, γ = 109.67°
Closest atoms and distances in Å follow each position.
Atoms (fractional coordinates):
Pm 0.4489 0.8979 0.7500  4 N 2.63
Pm 0.5511 0.1021 0.2500  4 N 2.63
Fe 0.1598 0.3196 0.9416  1 N 1.75
Fe 0.8402 0.6804 0.0584  1 N 1.75
Fe 0.1598 0.3196 0.5584  1 N 1.75
Fe 0.8402 0.6804 0.4416  1 N 1.75
Ge 0.7284 0.4568 0.7500  6 Fe 2.44
Ge 0.2716 0.5432 0.2500  6 Fe 2.44
N 0.0000 0.0000 0.0000  2 Fe 1.75
N 0.0000 0.0000 0.5000  2 Fe 1.75

* DOS(E_F): 4.3 states/eV/f.u.
* uncorrected formation energy: -0.64 eV/atom


7.
Computed, not measured: MnFeB2 after structural relaxation at the PBE level of DFT.

a = 2.5718 Å, b = 2.5718 Å, c = 6.0501 Å
α = 77.73°, β = 77.73°, γ = 60.00°
Closest atoms and distances in Å follow each position.
Atoms (fractional coordinates):
B 0.7486 0.7486 0.7541  3 Fe 2.07, 3 Mn 2.10
B 0.2514 0.2514 0.2459  3 Fe 2.07, 3 Mn 2.10
Mn 0.5000 0.5000 0.5000  6 B 2.10
Fe 0.0000 0.0000 0.0000  6 B 2.07

* DOS(E_F): 3.3 states/eV/f.u.
* energy of formation: 110 meV per atom
* energy above the lowest structure with this stoichiometry: 545 meV per atom


8.
Computed, not measured: InTc2Ru2 after structural relaxation at the PBE level of DFT.

a = 3.9803 Å, b = 3.9803 Å, c = 6.1552 Å
α = 71.14°, β = 71.14°, γ = 90.00°
Closest atoms and distances in Å follow each position.
Atoms (fractional coordinates):
Ru 0.7500 0.2500 0.5000  4 Tc 2.53, 4 Ru 2.81
Ru 0.2500 0.7500 0.5000  4 Tc 2.53, 4 Ru 2.81
Tc 0.3930 0.3930 0.2141  1 Tc 2.34, 4 Ru 2.53
Tc 0.6070 0.6070 0.7859  1 Tc 2.34, 4 Ru 2.53
In 0.0000 0.0000 0.0000  8 Tc 3.05, 8 Ru 3.38

* DOS(E_F): 5.1 states/eV/f.u.
* energy of formation: 367 meV per atom
* energy above the lowest structure with this stoichiometry: 154 meV per atom


9.
Computed, not measured: InGeSN2 after structural relaxation at the PBE level of DFT.

a = 3.7364 Å, b = 3.7364 Å, c = 5.6231 Å
α = 90.00°, β = 90.00°, γ = 90.00°
Closest atoms and distances in Å follow each position.
Atoms (fractional coordinates):
Ge 0.0000 0.0000 0.0000  4 N 1.87
N 0.0000 0.5000 0.0000  2 Ge 1.87
N 0.5000 0.0000 0.0000  2 Ge 1.87
S 0.0000 0.0000 0.5000  4 In 2.64, 2 Ge 2.81
In 0.5000 0.5000 0.5000  4 S 2.64

* DOS(E_F): 2.1 states/eV/f.u.
* uncorrected formation energy: 0.87 eV/atom
* energy above the lowest structure with this stoichiometry: 0 meV per atom


10.
Computed, not measured: SrCa2I after structural relaxation at the PBE level of DFT.

a = 6.3250 Å, b = 6.3250 Å, c = 6.3250 Å
α = 60.00°, β = 60.00°, γ = 60.00°
Closest atoms and distances in Å follow each position.
Atoms (fractional coordinates):
I 0.5000 0.5000 0.5000  8 Ca 3.87
Sr 0.0000 0.0000 0.0000  8 Ca 3.87
Ca 0.2500 0.2500 0.2500  4 I 3.87, 4 Sr 3.87
Ca 0.7500 0.7500 0.7500  4 Sr 3.87, 4 I 3.87

* DOS(E_F): 4.7 states/eV/f.u.
* uncorrected formation energy: -0.09 eV/atom
* energy above the lowest structure with this stoichiometry: 418 meV per atom


11.
Computed, not measured: RbPaPbO6 after structural relaxation at the PBE level of DFT.

a = 4.9787 Å, b = 6.0527 Å, c = 6.0527 Å
α = 120.00°, β = 90.00°, γ = 90.00°
Closest atoms and distances in Å follow each position.
Atoms (fractional coordinates):
Rb 0.5000 0.6667 0.3333  6 O 2.86
Pa 0.0000 0.3333 0.6667  6 O 2.17
Pb 0.5000 0.0000 0.0000  6 O 2.22
O 0.7531 0.6636 0.7558  1 Pa 2.17, 1 Pb 2.22
O 0.7531 0.2442 0.9078  1 Pa 2.17, 1 Pb 2.22
O 0.7531 0.0922 0.3364  1 Pa 2.17, 1 Pb 2.22
O 0.2469 0.2442 0.3364  1 Pa 2.17, 1 Pb 2.22
O 0.2469 0.6636 0.9078  1 Pa 2.17, 1 Pb 2.22
O 0.2469 0.0922 0.7558  1 Pa 2.17, 1 Pb 2.22

* DOS(E_F): 2.7 states/eV/f.u.
* uncorrected formation energy: -1.64 eV/atom